[1]
Entry from the Alexandria database: InGe2N after structural relaxation (GGA-PBE).

Output
- Formation energy without anion corrections: 1.20 eV per atom
- ΔE to the lowest computed polymorph: 798 meV/atom
- Fermi-level density of states: 2.8 states/eV/f.u.
- Total DFT energy (no corrections): -62.01 eV for the cell shown
- Magnetization: 0.00 μB/f.u.

abc: 6.576 6.576 6.576
angles: 90.00 90.00 90.00
Space group Fm-3m (No. 225)
Unique sites:
In 0.000 0.000 0.000
Ge 0.250 0.250 0.250
N 0.000 0.000 0.500

=====

[2]
Entry from the Alexandria database: Li3ZrU2S6 after structural relaxation (GGA-PBE).

Output
- Formation energy without anion corrections: -1.41 eV per atom
- Fermi-level density of states: 9.1 states/eV/f.u.
- Total DFT energy (no corrections): -157.21 eV for the cell shown
- Magnetization: 6.00 μB/f.u.

abc: 6.513 11.280 6.672
angles: 90.00 108.95 90.00
Space group C2/m (No. 12)
Unique sites:
Li 0.000 0.000 0.000
Li 0.000 0.335 0.000
Zr 0.000 0.500 0.500
U 0.000 0.167 0.500
S 0.239 0.500 0.245
S 0.247 0.338 0.757

=====

[3]
Entry from the Alexandria database: Si2AuSe after structural relaxation (GGA-PBE).

Output
- Formation energy without anion corrections: 0.13 eV per atom
- Fermi-level density of states: 2.2 states/eV/f.u.
- Total DFT energy (no corrections): -68.30 eV for the cell shown
- Magnetization: 0.00 μB/f.u.

abc: 5.766 5.766 11.269
angles: 90.00 90.00 90.00
Space group I-42d (No. 122)
Unique sites:
Si 0.230 0.250 0.125
Au 0.000 0.000 0.000
Se 0.000 0.000 0.500